DFT (PBEsol) results for a relaxed structure of YMn2Os.

relative energy among the computed polymorphs = 106 meV/atom
formation energy from the elements = 0.494 eV per atom
uncorrected energy = -9.146 eV/atom
N(E_F) = 1.10 states/eV per atom
mass density = 10.78 g/cm³
spin magnetization = 5.396 μB/cell

Unit cell a=4.3946 b=4.3946 c=6.2065 alpha=90.00 beta=90.00 gamma=90.00
With the nearest neighbours (Å) after each atom.
Space group I-4m2 (No. 119)
One atom of each set of equivalent atoms:
Y 0.0000 0.0000 0.0000  4 Mn 2.69, 4 Os 2.69
Mn 0.0000 0.0000 0.5000  4 Mn 2.69, 4 Os 2.69
Mn 0.0000 0.5000 0.2500  4 Mn 2.69, 4 Y 2.69
Os 0.0000 0.5000 0.7500  4 Mn 2.69, 4 Y 2.69